VASP calculation (GGA-PBE) on ErThCu3 after structural relaxation.

The value obtained for the formation energy is -218 meV per atom. Its space-group type is Cmcm, No. 63.

a = 13.240 Å, b = 13.240 Å, c = 4.367 Å
α = 90.00°, β = 90.00°, γ = 164.80°
Positions (direct):
Er 0.206 0.794 0.750
Er 0.794 0.206 0.250
Th 0.073 0.927 0.250
Th 0.927 0.073 0.750
Cu 0.326 0.674 0.750
Cu 0.380 0.620 0.250
Cu 0.476 0.524 0.250
Cu 0.524 0.476 0.750
Cu 0.620 0.380 0.750
Cu 0.674 0.326 0.250